{"formula": "Nb2Zn2NiO8", "functional": "PBE+U", "state": "relaxed", "lattice_angstrom": [[9.6186, -2.9709, 0.0000], [9.6186, 2.9709, 0.0000], [-0.0484, 0.0000, 5.2638]], "species": ["Nb", "Nb", "Nb", "Nb", "Zn", "Zn", "Zn", "Zn", "Ni", "Ni", "O", "O", "O", "O", "O", "O", "O", "O", "O", "O", "O", "O", "O", "O", "O", "O"], "frac_coords": [[0.0501, 0.7237, 0.7376], [0.2763, 0.9499, 0.7624], [0.7237, 0.0501, 0.2376], [0.9499, 0.2763, 0.2624], [0.1247, 0.4350, 0.2367], [0.4350, 0.1247, 0.7367], [0.5650, 0.8753, 0.2633], [0.8753, 0.5650, 0.7633], [0.3573, 0.6427, 0.2500], [0.6427, 0.3573, 0.7500], [0.0494, 0.8145, 0.0785], [0.0769, 0.2805, 0.5581], [0.1623, 0.4525, 0.8671], [0.1855, 0.9506, 0.4215], [0.2805, 0.0769, 0.0581], [0.3213, 0.5642, 0.5855], [0.4358, 0.6787, 0.9145], [0.4525, 0.1623, 0.3671], [0.5475, 0.8377, 0.6329], [0.5642, 0.3213, 0.0855], [0.6787, 0.4358, 0.4145], [0.7195, 0.9231, 0.9419], [0.8145, 0.0494, 0.5785], [0.8377, 0.5475, 0.1329], [0.9231, 0.7195, 0.4419], [0.9506, 0.1855, 0.9215]], "mass_density_g_cm3": 5.6, "total_energy_ev_per_atom": -6.970, "volume_a3_per_atom": 11.6, "space_group": "C2/c", "m_tot_mub_per_atom": 0.152}